(1)
! PBE Ca4SnAs, optimized geometry; values from VASP
! D(E_F) = 3.1 states/eV/f.u.
! Formation enthalpy at 0 K = -74 kJ/mol of atoms
! Raw total energy = -21.2 eV/cell
&SYSTEM
  ibrav = 0, nat = 6, ntyp = 3
/
ATOMIC_SPECIES
Ca 40.08 Ca.upf
Sn 118.71 Sn.upf
As 74.92 As.upf
ATOMIC_POSITIONS crystal
Ca 0.000 0.500 0.242
Ca 0.000 0.500 0.758
Ca 0.500 0.000 0.242
Ca 0.500 0.000 0.758
Sn 0.000 0.000 0.500
As 0.500 0.500 0.000
CELL_PARAMETERS angstrom
5.156 0.000 0.000
0.000 5.156 0.000
0.000 0.000 7.278

(2)
! PBE CaSnAs2, optimized geometry; values from VASP
! D(E_F) = 1.6 states/eV/f.u.
! Formation enthalpy at 0 K = -40 kJ/mol of atoms
! Raw total energy = -17.0 eV/cell
&SYSTEM
  ibrav = 0, nat = 4, ntyp = 3
/
ATOMIC_SPECIES
Ca 40.08 Ca.upf
Sn 118.71 Sn.upf
As 74.92 As.upf
ATOMIC_POSITIONS crystal
Ca 0.000 0.000 0.000
Sn 0.500 0.500 0.000
As 0.000 0.500 0.500
As 0.500 0.000 0.500
CELL_PARAMETERS angstrom
4.811 0.000 0.000
0.000 4.811 0.000
0.000 0.000 3.979

(3)
! PBE CaSnAs2, optimized geometry; values from VASP
! D(E_F) = 0.0 states/eV/f.u.
! Formation enthalpy at 0 K = -47 kJ/mol of atoms
! Raw total energy = -34.5 eV/cell
&SYSTEM
  ibrav = 0, nat = 8, ntyp = 3
/
ATOMIC_SPECIES
Ca 40.08 Ca.upf
Sn 118.71 Sn.upf
As 74.92 As.upf
ATOMIC_POSITIONS crystal
Ca 0.000 0.000 0.000
Ca 0.750 0.250 0.500
Sn 0.250 0.750 0.500
Sn 0.500 0.500 0.000
As 0.162 0.125 0.537
As 0.375 0.838 0.963
As 0.588 0.625 0.463
As 0.875 0.412 0.037
CELL_PARAMETERS angstrom
-3.519 3.519 4.964
3.519 -3.519 4.964
3.519 3.519 -4.964

(4)
! PBE CaSn3As, optimized geometry; values from VASP
! ΔE to the lowest computed polymorph = 0.00 kJ/mol of atoms
! D(E_F) = 2.8 states/eV/f.u.
! Formation enthalpy at 0 K = 15 kJ/mol of atoms
! Raw total energy = -17.9 eV/cell
&SYSTEM
  ibrav = 0, nat = 5, ntyp = 3
/
ATOMIC_SPECIES
Ca 40.08 Ca.upf
Sn 118.71 Sn.upf
As 74.92 As.upf
ATOMIC_POSITIONS crystal
Ca 0.000 0.000 0.000
Sn 0.000 0.500 0.500
Sn 0.500 0.000 0.500
Sn 0.500 0.500 0.000
As 0.500 0.500 0.500
CELL_PARAMETERS angstrom
5.469 0.000 0.000
0.000 5.469 0.000
0.000 0.000 5.469

(5)
! PBE CaSn2As2, optimized geometry; values from VASP
! D(E_F) = 3.4 states/eV/f.u.
! Formation enthalpy at 0 K = -27 kJ/mol of atoms
! Raw total energy = -41.4 eV/cell
&SYSTEM
  ibrav = 0, nat = 10, ntyp = 3
/
ATOMIC_SPECIES
Ca 40.08 Ca.upf
Sn 118.71 Sn.upf
As 74.92 As.upf
ATOMIC_POSITIONS crystal
Ca 0.000 0.000 0.000
Ca 0.500 0.500 0.000
Sn 0.152 0.348 0.500
Sn 0.348 0.848 0.500
Sn 0.652 0.152 0.500
Sn 0.848 0.652 0.500
As 0.149 0.649 0.000
As 0.351 0.149 0.000
As 0.649 0.851 0.000
As 0.851 0.351 0.000
CELL_PARAMETERS angstrom
7.759 0.000 0.000
0.000 7.759 0.000
0.000 0.000 4.143

(6)
! PBE Ca3SnAs4, optimized geometry; values from VASP
! Formation enthalpy at 0 K = -71 kJ/mol of atoms
! Raw total energy = -138.0 eV/cell
&SYSTEM
  ibrav = 0, nat = 32, ntyp = 3
/
ATOMIC_SPECIES
Ca 40.08 Ca.upf
Sn 118.71 Sn.upf
As 74.92 As.upf
ATOMIC_POSITIONS crystal
Ca 0.082 0.045 0.227
Ca 0.082 0.455 0.227
Ca 0.162 0.750 0.431
Ca 0.338 0.250 0.931
Ca 0.418 0.545 0.727
Ca 0.418 0.955 0.727
Ca 0.582 0.045 0.273
Ca 0.582 0.455 0.273
Ca 0.662 0.750 0.069
Ca 0.838 0.250 0.569
Ca 0.918 0.545 0.773
Ca 0.918 0.955 0.773
Sn 0.230 0.750 0.974
Sn 0.270 0.250 0.474
Sn 0.730 0.750 0.526
Sn 0.770 0.250 0.026
As 0.010 0.750 0.159
As 0.139 0.027 0.538
As 0.139 0.473 0.538
As 0.159 0.750 0.726
As 0.341 0.250 0.226
As 0.361 0.527 0.038
As 0.361 0.973 0.038
As 0.490 0.250 0.659
As 0.510 0.750 0.341
As 0.639 0.027 0.962
As 0.639 0.473 0.962
As 0.659 0.750 0.774
As 0.841 0.250 0.274
As 0.861 0.527 0.462
As 0.861 0.973 0.462
As 0.990 0.250 0.841
CELL_PARAMETERS angstrom
8.248 0.000 0.000
0.000 10.547 0.000
0.000 0.000 10.145

(7)
! PBE SrCaSnAs2, optimized geometry; values from VASP
! D(E_F) = 3.3 states/eV/f.u.
! Formation enthalpy at 0 K = 32 kJ/mol of atoms
! Raw total energy = -15.3 eV/cell
&SYSTEM
  ibrav = 0, nat = 5, ntyp = 4
/
ATOMIC_SPECIES
Sr 87.62 Sr.upf
Ca 40.08 Ca.upf
Sn 118.71 Sn.upf
As 74.92 As.upf
ATOMIC_POSITIONS crystal
Sr 0.000 0.000 0.000
Ca 0.500 0.500 0.500
Sn 0.000 0.000 0.500
As 0.000 0.500 0.000
As 0.500 0.000 0.000
CELL_PARAMETERS angstrom
5.588 0.000 0.000
0.000 5.588 0.000
0.000 0.000 5.830

(8)
! PBE Sr2CaSn2As4, optimized geometry; values from VASP
! D(E_F) = 1.6 states/eV/f.u.
! Formation enthalpy at 0 K = -67 kJ/mol of atoms
! Raw total energy = -38.2 eV/cell
&SYSTEM
  ibrav = 0, nat = 9, ntyp = 4
/
ATOMIC_SPECIES
Sr 87.62 Sr.upf
Ca 40.08 Ca.upf
Sn 118.71 Sn.upf
As 74.92 As.upf
ATOMIC_POSITIONS crystal
Sr 0.126 0.126 0.047
Sr 0.874 0.874 0.953
Ca 0.000 0.000 0.500
Sn 0.340 0.340 0.460
Sn 0.660 0.660 0.540
As 0.239 0.239 0.738
As 0.495 0.495 0.816
As 0.505 0.505 0.184
As 0.761 0.761 0.262
CELL_PARAMETERS angstrom
8.165 -2.179 0.000
8.165 2.179 0.000
-1.319 0.000 7.132

(9)
! PBE SrCa2SnAs, optimized geometry; values from VASP
! D(E_F) = 6.0 states/eV/f.u.
! Formation enthalpy at 0 K = -66 kJ/mol of atoms
! Raw total energy = -17.7 eV/cell
&SYSTEM
  ibrav = 0, nat = 5, ntyp = 4
/
ATOMIC_SPECIES
Sr 87.62 Sr.upf
Ca 40.08 Ca.upf
Sn 118.71 Sn.upf
As 74.92 As.upf
ATOMIC_POSITIONS crystal
Sr 0.000 0.000 0.000
Ca 0.000 0.500 0.481
Ca 0.500 0.000 0.481
Sn 0.500 0.500 0.032
As 0.000 0.000 0.503
CELL_PARAMETERS angstrom
5.533 0.000 0.000
0.000 5.533 0.000
0.000 0.000 5.927

(10)
! PBE CaY2SnAs, optimized geometry; values from VASP
! D(E_F) = 5.1 states/eV/f.u.
! Formation enthalpy at 0 K = -28 kJ/mol of atoms
! Raw total energy = -25.0 eV/cell
&SYSTEM
  ibrav = 0, nat = 5, ntyp = 4
/
ATOMIC_SPECIES
Ca 40.08 Ca.upf
Y 88.91 Y.upf
Sn 118.71 Sn.upf
As 74.92 As.upf
ATOMIC_POSITIONS crystal
Ca 0.000 0.000 0.000
Y 0.000 0.500 0.500
Y 0.500 0.000 0.500
Sn 0.500 0.500 0.000
As 0.500 0.500 0.500
CELL_PARAMETERS angstrom
5.380 0.000 0.000
0.000 5.380 0.000
0.000 0.000 5.857

(11)
! PBE CaZnSnAs2, optimized geometry; values from VASP
! D(E_F) = 2.9 states/eV/f.u.
! Formation enthalpy at 0 K = 70 kJ/mol of atoms
! Raw total energy = -12.9 eV/cell
&SYSTEM
  ibrav = 0, nat = 5, ntyp = 4
/
ATOMIC_SPECIES
Ca 40.08 Ca.upf
Zn 65.41 Zn.upf
Sn 118.71 Sn.upf
As 74.92 As.upf
ATOMIC_POSITIONS crystal
Ca 0.000 0.000 0.000
Zn 0.500 0.500 0.500
Sn 0.000 0.000 0.500
As 0.000 0.500 0.000
As 0.500 0.000 0.000
CELL_PARAMETERS angstrom
5.347 0.000 0.000
0.000 5.347 0.000
0.000 0.000 5.874

(12)
! PBE SrCa2As, optimized geometry; values from VASP
! D(E_F) = 4.2 states/eV/f.u.
! Formation enthalpy at 0 K = -18 kJ/mol of atoms
! Raw total energy = -11.1 eV/cell
&SYSTEM
  ibrav = 0, nat = 4, ntyp = 3
/
ATOMIC_SPECIES
Sr 87.62 Sr.upf
Ca 40.08 Ca.upf
As 74.92 As.upf
ATOMIC_POSITIONS crystal
Sr 0.000 0.000 0.000
Ca 0.250 0.250 0.250
Ca 0.500 0.500 0.500
As 0.750 0.750 0.750
CELL_PARAMETERS angstrom
0.000 4.028 4.028
4.028 0.000 4.028
4.028 4.028 0.000

(13)
! PBE Sr2CaAs2, optimized geometry; values from VASP
! ΔE to the lowest computed polymorph = 36.39 kJ/mol of atoms
! D(E_F) = 0.6 states/eV/f.u.
! Formation enthalpy at 0 K = -71 kJ/mol of atoms
! Raw total energy = -36.6 eV/cell
&SYSTEM
  ibrav = 0, nat = 10, ntyp = 3
/
ATOMIC_SPECIES
Sr 87.62 Sr.upf
Ca 40.08 Ca.upf
As 74.92 As.upf
ATOMIC_POSITIONS crystal
Sr 0.128 0.372 0.000
Sr 0.372 0.872 0.000
Sr 0.628 0.128 0.000
Sr 0.872 0.628 0.000
Ca 0.000 0.000 0.000
Ca 0.500 0.500 0.000
As 0.176 0.676 0.500
As 0.324 0.176 0.500
As 0.676 0.824 0.500
As 0.824 0.324 0.500
CELL_PARAMETERS angstrom
8.672 0.000 0.000
0.000 8.672 0.000
0.000 0.000 3.863

(14)
! PBE Sr5CaAs4, optimized geometry; values from VASP
! ΔE to the lowest computed polymorph = 2.70 kJ/mol of atoms
! D(E_F) = 0.4 states/eV/f.u.
! Formation enthalpy at 0 K = -100 kJ/mol of atoms
! Raw total energy = -39.3 eV/cell
&SYSTEM
  ibrav = 0, nat = 10, ntyp = 3
/
ATOMIC_SPECIES
Sr 87.62 Sr.upf
Ca 40.08 Ca.upf
As 74.92 As.upf
ATOMIC_POSITIONS crystal
Sr 0.000 0.000 0.000
Sr 0.325 0.325 0.913
Sr 0.373 0.373 0.381
Sr 0.627 0.627 0.619
Sr 0.675 0.675 0.087
Ca 0.000 0.000 0.500
As 0.164 0.164 0.830
As 0.462 0.462 0.722
As 0.538 0.538 0.278
As 0.836 0.836 0.170
CELL_PARAMETERS angstrom
9.486 -2.406 0.000
9.486 2.406 0.000
-0.012 0.000 8.017

(15)
! PBE SrCaAs, optimized geometry; values from VASP
! ΔE to the lowest computed polymorph = 3.22 kJ/mol of atoms
! D(E_F) = 2.0 states/eV/f.u.
! Formation enthalpy at 0 K = -82 kJ/mol of atoms
! Raw total energy = -10.9 eV/cell
&SYSTEM
  ibrav = 0, nat = 3, ntyp = 3
/
ATOMIC_SPECIES
Sr 87.62 Sr.upf
Ca 40.08 Ca.upf
As 74.92 As.upf
ATOMIC_POSITIONS crystal
Sr 0.000 0.000 0.000
Ca 0.333 0.667 0.429
As 0.667 0.333 0.235
CELL_PARAMETERS angstrom
4.446 0.000 0.000
-2.223 3.851 0.000
0.000 0.000 7.210

(16)
! PBE SrCaAs4, optimized geometry; values from VASP
! D(E_F) = 5.3 states/eV/f.u.
! Formation enthalpy at 0 K = -41 kJ/mol of atoms
! Raw total energy = -24.8 eV/cell
&SYSTEM
  ibrav = 0, nat = 6, ntyp = 3
/
ATOMIC_SPECIES
Sr 87.62 Sr.upf
Ca 40.08 Ca.upf
As 74.92 As.upf
ATOMIC_POSITIONS crystal
Sr 0.000 0.000 0.000
Ca 0.250 0.250 0.250
As 0.128 0.624 0.624
As 0.624 0.128 0.624
As 0.624 0.624 0.128
As 0.624 0.624 0.624
CELL_PARAMETERS angstrom
0.000 4.141 4.141
4.141 0.000 4.141
4.141 4.141 0.000

(17)
! PBE SrCa2As, optimized geometry; values from VASP
! D(E_F) = 3.2 states/eV/f.u.
! Formation enthalpy at 0 K = -57 kJ/mol of atoms
! Raw total energy = -12.7 eV/cell
&SYSTEM
  ibrav = 0, nat = 4, ntyp = 3
/
ATOMIC_SPECIES
Sr 87.62 Sr.upf
Ca 40.08 Ca.upf
As 74.92 As.upf
ATOMIC_POSITIONS crystal
Sr 0.000 0.000 0.000
Ca 0.327 0.827 0.500
Ca 0.673 0.173 0.500
As 0.500 0.500 0.000
CELL_PARAMETERS angstrom
-1.945 2.726 6.620
1.945 -2.726 6.620
1.945 2.726 -6.620

(18)
! PBE SrCa2As, optimized geometry; values from VASP
! D(E_F) = 2.7 states/eV/f.u.
! Formation enthalpy at 0 K = -59 kJ/mol of atoms
! Raw total energy = -12.8 eV/cell
&SYSTEM
  ibrav = 0, nat = 4, ntyp = 3
/
ATOMIC_SPECIES
Sr 87.62 Sr.upf
Ca 40.08 Ca.upf
As 74.92 As.upf
ATOMIC_POSITIONS crystal
Sr 0.000 0.000 0.000
Ca 0.000 0.310 0.310
Ca 0.500 0.658 0.658
As 0.500 0.456 0.456
CELL_PARAMETERS angstrom
4.180 0.000 0.000
0.000 2.413 7.298
0.000 -2.413 7.298

(19)
! PBE SrCa2As, optimized geometry; values from VASP
! D(E_F) = 5.1 states/eV/f.u.
! Formation enthalpy at 0 K = -50 kJ/mol of atoms
! Raw total energy = -12.4 eV/cell
&SYSTEM
  ibrav = 0, nat = 4, ntyp = 3
/
ATOMIC_SPECIES
Sr 87.62 Sr.upf
Ca 40.08 Ca.upf
As 74.92 As.upf
ATOMIC_POSITIONS crystal
Sr 0.000 0.000 0.000
Ca 0.000 0.000 0.340
Ca 0.500 0.500 0.651
As 0.500 0.500 0.193
CELL_PARAMETERS angstrom
3.891 0.000 0.000
0.000 3.891 0.000
0.000 0.000 9.349

(20)
! PBE SrCa2As, optimized geometry; values from VASP
! D(E_F) = 4.6 states/eV/f.u.
! Formation enthalpy at 0 K = -47 kJ/mol of atoms
! Raw total energy = -24.6 eV/cell
&SYSTEM
  ibrav = 0, nat = 8, ntyp = 3
/
ATOMIC_SPECIES
Sr 87.62 Sr.upf
Ca 40.08 Ca.upf
As 74.92 As.upf
ATOMIC_POSITIONS crystal
Sr 0.000 0.000 0.000
Sr 0.750 0.250 0.500
Ca 0.233 0.625 0.108
Ca 0.375 0.483 0.608
Ca 0.517 0.125 0.892
Ca 0.875 0.767 0.392
As 0.250 0.750 0.500
As 0.500 0.500 0.000
CELL_PARAMETERS angstrom
-4.935 4.935 3.223
4.935 -4.935 3.223
4.935 4.935 -3.223

(21)
! PBE SrCa2As, optimized geometry; values from VASP
! D(E_F) = 4.2 states/eV/f.u.
! Formation enthalpy at 0 K = -50 kJ/mol of atoms
! Raw total energy = -12.4 eV/cell
&SYSTEM
  ibrav = 0, nat = 4, ntyp = 3
/
ATOMIC_SPECIES
Sr 87.62 Sr.upf
Ca 40.08 Ca.upf
As 74.92 As.upf
ATOMIC_POSITIONS crystal
Sr 0.000 0.000 0.000
Ca 0.500 0.500 0.340
Ca 0.500 0.500 0.660
As 0.000 0.000 0.500
CELL_PARAMETERS angstrom
2.689 -2.699 0.000
2.689 2.699 0.000
0.000 0.000 9.757

(22)
! PBE Sr2CaAs2, optimized geometry; values from VASP
! ΔE to the lowest computed polymorph = 47.63 kJ/mol of atoms
! D(E_F) = 2.4 states/eV/f.u.
! Formation enthalpy at 0 K = -59 kJ/mol of atoms
! Raw total energy = -17.7 eV/cell
&SYSTEM
  ibrav = 0, nat = 5, ntyp = 3
/
ATOMIC_SPECIES
Sr 87.62 Sr.upf
Ca 40.08 Ca.upf
As 74.92 As.upf
ATOMIC_POSITIONS crystal
Sr 0.250 0.750 0.500
Sr 0.750 0.250 0.500
Ca 0.000 0.000 0.000
As 0.395 0.395 0.000
As 0.605 0.605 0.000
CELL_PARAMETERS angstrom
-2.483 2.483 6.505
2.483 -2.483 6.505
2.483 2.483 -6.505

(23)
! PBE Sr4CaAs, optimized geometry; values from VASP
! D(E_F) = 7.9 states/eV/f.u.
! Formation enthalpy at 0 K = 30 kJ/mol of atoms
! Raw total energy = -11.5 eV/cell
&SYSTEM
  ibrav = 0, nat = 6, ntyp = 3
/
ATOMIC_SPECIES
Sr 87.62 Sr.upf
Ca 40.08 Ca.upf
As 74.92 As.upf
ATOMIC_POSITIONS crystal
Sr 0.124 0.124 0.124
Sr 0.124 0.124 0.627
Sr 0.124 0.627 0.124
Sr 0.627 0.124 0.124
Ca 0.500 0.500 0.500
As 0.750 0.750 0.750
CELL_PARAMETERS angstrom
0.000 5.140 5.140
5.140 0.000 5.140
5.140 5.140 0.000

(24)
! PBE SrCa2As, optimized geometry; values from VASP
! D(E_F) = 2.8 states/eV/f.u.
! Formation enthalpy at 0 K = -54 kJ/mol of atoms
! Raw total energy = -12.6 eV/cell
&SYSTEM
  ibrav = 0, nat = 4, ntyp = 3
/
ATOMIC_SPECIES
Sr 87.62 Sr.upf
Ca 40.08 Ca.upf
As 74.92 As.upf
ATOMIC_POSITIONS crystal
Sr 0.000 0.000 0.000
Ca 0.329 0.829 0.500
Ca 0.673 0.673 0.000
As 0.828 0.328 0.500
CELL_PARAMETERS angstrom
-1.934 2.404 7.681
1.934 -2.404 7.681
1.934 2.404 -7.681

(25)
! PBE Sr2CaAs2, optimized geometry; values from VASP
! ΔE to the lowest computed polymorph = 0.00 kJ/mol of atoms
! Formation enthalpy at 0 K = -107 kJ/mol of atoms
! Raw total energy = -40.4 eV/cell
&SYSTEM
  ibrav = 0, nat = 10, ntyp = 3
/
ATOMIC_SPECIES
Sr 87.62 Sr.upf
Ca 40.08 Ca.upf
As 74.92 As.upf
ATOMIC_POSITIONS crystal
Sr 0.146 0.140 0.286
Sr 0.354 0.640 0.993
Sr 0.646 0.360 0.007
Sr 0.854 0.860 0.714
Ca 0.250 0.750 0.500
Ca 0.750 0.250 0.500
As 0.110 0.749 0.859
As 0.390 0.249 0.639
As 0.610 0.751 0.361
As 0.890 0.251 0.141
CELL_PARAMETERS angstrom
-3.973 6.105 3.371
3.973 -6.105 3.371
3.973 6.105 -3.371

(26)
! PBE SrCa2As, optimized geometry; values from VASP
! D(E_F) = 4.3 states/eV/f.u.
! Formation enthalpy at 0 K = -32 kJ/mol of atoms
! Raw total energy = -11.7 eV/cell
&SYSTEM
  ibrav = 0, nat = 4, ntyp = 3
/
ATOMIC_SPECIES
Sr 87.62 Sr.upf
Ca 40.08 Ca.upf
As 74.92 As.upf
ATOMIC_POSITIONS crystal
Sr 0.000 0.000 0.000
Ca 0.250 0.750 0.500
Ca 0.750 0.250 0.500
As 0.500 0.500 0.000
CELL_PARAMETERS angstrom
-2.391 2.391 5.594
2.391 -2.391 5.594
2.391 2.391 -5.594